PBE Rb2CClF6, optimized geometry; VASP energy = -39.3 eV per formula unit; raw formation energy = -145.8 kJ/mol of atoms; symmetry = I4/mmm (139); magnetization = 1.000 μB/f.u.
1.0
-1.1437 6.2369 0.5050
-1.8494 0.1536 -6.0842
-5.4384 2.3770 -1.6121
C F Rb Cl
1 6 2 1
Cartesian
-1.4965 3.1952 -2.7896
-3.0840 2.8657 -2.3154
-5.3474 5.9017 -4.8759
-0.9849 2.1029 -1.8359
-2.0081 4.2876 -3.7433
-1.3759 4.2351 -1.6633
-1.6171 2.1554 -3.9159
-4.0393 5.9046 -1.9483
-4.3921 2.8629 -5.2430
0.0000 0.0000 0.0000